Mg3Cd4Pd2, optimized geometry, DFT PBE; magnetic moment = 0.000 μB per atom; energy of formation from the pure elements = -0.337 eV per atom; mass density = 7.209 Mg/m³; DOS(E_F) = 1.73 states/eV per cell
1.0
4.854 -2.092 0.000
4.854 2.092 0.000
-3.217 0.000 8.341
Mg Cd Pd
3 4 2
Cartesian
0.000 0.000 0.000 Mg
1.714 0.000 3.589 Mg
4.778 0.000 4.752 Mg
-2.134 0.000 5.560 Cd
2.889 0.000 0.907 Cd
3.603 0.000 7.433 Cd
8.626 0.000 2.781 Cd
0.791 0.000 6.454 Pd
5.700 0.000 1.886 Pd


Mg6CdPd, optimized geometry, DFT PBE; magnetic moment = 0.000 μB per atom; energy of formation from the pure elements = -0.226 eV per atom; mass density = 3.771 Mg/m³; DOS(E_F) = 1.89 states/eV per cell
1.0
6.190 0.000 0.000
-3.095 5.361 0.000
0.000 0.000 4.838
Mg Cd Pd
6 1 1
Cartesian
-1.470 2.725 0.000 Mg
1.539 0.889 2.419 Mg
1.470 2.725 0.000 Mg
0.000 5.271 0.000 Mg
4.651 0.889 2.419 Mg
3.095 3.584 2.419 Mg
0.000 0.000 0.000 Cd
0.000 3.574 2.419 Pd


Mg7CdPd4, optimized geometry, DFT PBE; magnetic moment = 0.000 μB per atom; energy of formation from the pure elements = -0.345 eV per atom; mass density = 5.011 Mg/m³; DOS(E_F) = 4.27 states/eV per cell
1.0
6.500 -2.471 0.000
6.500 2.471 0.000
-5.342 0.000 7.305
Mg Cd Pd
7 1 4
Cartesian
0.000 0.000 0.000 Mg
-0.876 0.000 4.700 Mg
3.008 0.000 0.903 Mg
2.301 0.000 4.568 Mg
5.356 0.000 2.738 Mg
4.650 0.000 6.402 Mg
8.533 0.000 2.605 Mg
6.500 0.000 0.000 Cd
-3.301 0.000 5.627 Pd
0.672 0.000 2.532 Pd
6.985 0.000 4.774 Pd
10.959 0.000 1.678 Pd